No. 1
Here is LaMo2OsSe after structural relaxation from Alexandria via LeMat-Bulk. Energies are from GGA-PBEsol.

Calculated values
DOS at the Fermi energy: 1.523 states/eV per atom
Total energy: -8.08 eV/atom
Space group: P4/mmm
Formation energy without anion corrections: 0.913 eV/atom

a b c (Å): 4.7111 4.7111 5.1506
angles (deg): 90.00 90.00 90.00
Last column: nearest neighbours and their distance in Å.
Atoms (fractional coordinates):
La (0.0000, 0.0000, 0.0000)  4 Se 3.33, 8 Mo 3.49
Mo (0.0000, 0.5000, 0.5000)  2 Os 2.36
Mo (0.5000, 0.0000, 0.5000)  2 Os 2.36
Os (0.5000, 0.5000, 0.5000)  4 Mo 2.36, 2 Se 2.58
Se (0.5000, 0.5000, 0.0000)  2 Os 2.58


No. 2
Here is LaMo2P after structural relaxation from Alexandria via LeMat-Bulk. Energies are from GGA-PBEsol.

Calculated values
DOS at the Fermi energy: 0.907 states/eV per atom
Formation enthalpy at 0 K: 192 meV per atom
Total energy: -8.48 eV/atom
Space group: Imm2

a b c (Å): 3.2424 4.2770 9.9281
angles (deg): 90.00 90.00 90.00
Last column: nearest neighbours and their distance in Å.
Atoms (fractional coordinates):
La (0.0000, 0.0000, 0.0000)  4 Mo 2.71
La (0.5000, 0.5000, 0.5000)  4 Mo 2.71
Mo (0.0000, 0.0000, 0.5415)  2 P 2.50, 4 La 2.71
Mo (0.0000, 0.5000, 0.7720)  4 P 2.71
Mo (0.5000, 0.0000, 0.2720)  4 P 2.71
Mo (0.5000, 0.5000, 0.0415)  2 P 2.50, 4 La 2.71
P (0.0000, 0.5000, 0.2335)  6 Mo 2.50-2.71
P (0.5000, 0.0000, 0.7335)  6 Mo 2.50-2.71


No. 3
Here is LaMoP2S after structural relaxation from Alexandria via LeMat-Bulk. Energies are from GGA-PBEsol.

Calculated values
DOS at the Fermi energy: 0.998 states/eV per atom
Total energy: -5.31 eV/atom
Space group: P4/mmm
Formation energy without anion corrections: 1.309 eV/atom

a b c (Å): 5.2827 5.2827 5.2580
angles (deg): 90.00 90.00 90.00
Last column: nearest neighbours and their distance in Å.
Atoms (fractional coordinates):
La (0.0000, 0.0000, 0.0000)  2 S 2.63, 4 P 2.64
Mo (0.5000, 0.5000, 0.5000)  8 P 3.73, 4 S 3.74
P (0.0000, 0.5000, 0.0000)  2 La 2.64
P (0.5000, 0.0000, 0.0000)  2 La 2.64
S (0.0000, 0.0000, 0.5000)  2 La 2.63


No. 4
Here is LaMoPS2 after structural relaxation from Alexandria via LeMat-Bulk. Energies are from GGA-PBEsol.

Calculated values
DOS at the Fermi energy: 1.146 states/eV per atom
Total energy: -5.39 eV/atom
Space group: P4/mmm
Formation energy without anion corrections: 0.943 eV/atom

a b c (Å): 5.3046 5.3046 5.4238
angles (deg): 90.00 90.00 90.00
Last column: nearest neighbours and their distance in Å.
Atoms (fractional coordinates):
La (0.0000, 0.0000, 0.0000)  4 S 2.65, 2 P 2.71
Mo (0.5000, 0.5000, 0.5000)  4 P 3.75, 8 S 3.79
P (0.0000, 0.0000, 0.5000)  2 La 2.71
S (0.0000, 0.5000, 0.0000)  2 La 2.65
S (0.5000, 0.0000, 0.0000)  2 La 2.65


Question: Which formula does entry 3 have?
Answer: LaMoP2S


Question: DOS at the Fermi energy of number 4 (LaMoPS2)?
Answer: 1.146 states/eV per atom